# 1
VASP calculation (PBE-GGA) on crystalline TcSbOs2 at its relaxed geometry.

abc: 4.853 4.853 4.853
angles: 131.49 131.49 71.04
Positions (direct):
Os 0.000 0.000 0.000
Os 0.500 0.500 0.000
Sb 0.250 0.750 0.500
Tc 0.750 0.250 0.500

## Properties
E_form (uncorrected) ... 0.4686 eV per atom
SG ... I4/mmm (139)

# 2
VASP calculation (PBE-GGA) on crystalline CsMnPdI6 at its relaxed geometry.

abc: 7.291 7.540 8.768
angles: 92.14 91.10 58.86
Each line ends with the local moment (μB).
Positions (direct):
Cs 0.014 0.993 0.000  0.01
Mn 0.349 0.326 0.500  4.25
Pd 0.667 0.667 0.500  0.36
I 0.988 0.377 0.320  0.05
I 0.377 0.996 0.677  0.06
I 0.620 0.382 0.702  0.15
I 0.988 0.635 0.680  0.05
I 0.377 0.627 0.323  0.06
I 0.620 0.998 0.298  0.15

## Properties
E_form (uncorrected) ... -0.5144 eV per atom
SG ... C2 (5)

# 3
VASP calculation (PBE-GGA) on crystalline CeTaRh2 at its relaxed geometry.

abc: 2.971 2.971 9.506
angles: 81.01 81.01 60.00
Positions (direct):
Rh 0.741 0.741 0.778
Rh 0.259 0.259 0.222
Ce 0.500 0.500 0.500
Ta 0.000 0.000 0.000

## Properties
SG ... R-3m (166)
ΔH_f (0 K) ... -0.2145 eV per atom

# 4
VASP calculation (PBE-GGA) on crystalline LiTi2Bi2 at its relaxed geometry.

abc: 7.800 7.800 3.665
angles: 90.00 90.00 90.00
Positions (direct):
Li 0.000 0.000 0.000
Li 0.500 0.500 0.000
Bi 0.338 0.838 0.000
Bi 0.838 0.662 0.000
Bi 0.662 0.162 0.000
Bi 0.162 0.338 0.000
Ti 0.130 0.630 0.500
Ti 0.630 0.870 0.500
Ti 0.870 0.370 0.500
Ti 0.370 0.130 0.500

## Properties
SG ... P4/mbm (127)
ΔH_f (0 K) ... -0.0998 eV per atom

# 5
VASP calculation (PBE-GGA) on crystalline HfUPa2As4 at its relaxed geometry.

abc: 4.023 6.948 6.988
angles: 70.72 90.00 90.00
Each line ends with the local moment (μB).
Positions (direct):
Hf 0.000 0.500 0.500  0.00
U 0.500 0.500 0.000  2.07
Pa 0.000 0.000 0.000  0.17
Pa 0.500 0.000 0.500  0.08
As 0.000 0.742 0.744  -0.02
As 0.000 0.258 0.256  -0.02
As 0.500 0.736 0.262  -0.01
As 0.500 0.264 0.738  -0.01

## Properties
SG ... P2/m (10)
ΔH_f (0 K) ... -0.9491 eV per atom

# 6
VASP calculation (PBE-GGA) on crystalline Nd2Zn3Ge4Au at its relaxed geometry.

abc: 4.392 4.392 10.393
angles: 90.00 90.00 90.00
Positions (direct):
Nd 0.500 0.000 0.247
Nd 0.000 0.500 0.753
Zn 0.000 0.000 0.500
Zn 0.500 0.000 0.873
Zn 0.000 0.500 0.127
Ge 0.500 0.500 0.000
Ge 0.000 0.000 0.000
Ge 0.500 0.000 0.640
Ge 0.000 0.500 0.360
Au 0.500 0.500 0.500

## Properties
SG ... P-4m2 (115)
ΔH_f (0 K) ... -0.4327 eV per atom

Number 1: VASP energy -0.6445 Ry/atom. Number 2: VASP energy -0.2380 Ry/atom. Number 3: VASP energy -0.6127 Ry/atom. Number 4: VASP energy -0.3817 Ry/atom. Number 5: VASP energy -0.6103 Ry/atom. Number 6: VASP energy -0.2898 Ry/atom.